VASP calculation (PBE-GGA) on CaTa2Hg after structural relaxation.

Cell lengths 3.3223, 3.3223, 28.8758 Å; angles 90.00, 90.00, 120.00 degrees
Space group R3m (No. 160, hexagonal axes)
Inequivalent atoms, fractional coordinates:
Ca (0.0000, 0.0000, 0.0000) x3
Ta (0.0000, 0.0000, 0.4958) x3
Ta (0.0000, 0.0000, 0.7629) x3
Hg (0.0000, 0.0000, 0.2435) x3

Properties
Total magnetic moment   0.19 μB/f.u.
Total DFT energy (no corrections)   -6.1196 eV/atom
Calculated volume   92.00 Å³/f.u.